Material: Nd2NiGe
Method: DFT, PBE
State: optimized geometry

a = 4.2305 Å, b = 4.1226 Å, c = 11.1035 Å
α = 90.00°, β = 90.00°, γ = 90.00°
Last column: nearest neighbours and their distance in Å.
Space group Amm2 (No. 38)
Symmetry-distinct sites (fractional):
Nd 0.0000 0.0000 0.0000 (multiplicity 2)  4 Ni 3.05, 3 Ge 3.09-3.25
Nd 0.5000 0.0000 0.2777 (multiplicity 2)  4 Ge 3.05, 3 Ni 3.11-3.22
Ni 0.5000 0.0000 0.5678 (multiplicity 2)  2 Ge 2.62
Ge 0.0000 0.0000 0.7076 (multiplicity 2)  2 Ni 2.62

---

Material: NdNiGe3
Method: DFT, PBE
State: optimized geometry

a = 4.1561 Å, b = 21.9053 Å, c = 4.1749 Å
α = 90.00°, β = 90.00°, γ = 90.00°
Last column: nearest neighbours and their distance in Å.
Space group Cmmm (No. 65)
Symmetry-distinct sites (fractional):
Nd 0.0000 0.1683 0.0000 (multiplicity 4)  10 Ge 3.13-3.28, 4 Ni 3.22
Ni 0.0000 0.3909 0.5000 (multiplicity 4)  5 Ge 2.34-2.38
Ge 0.0000 0.0568 0.5000 (multiplicity 4)  2 Ni 2.37, 1 Ge 2.49
Ge 0.0000 0.2839 0.5000 (multiplicity 4)  1 Ni 2.34, 2 Ge 2.55
Ge 0.0000 0.4433 0.0000 (multiplicity 4)  2 Ni 2.38, 1 Ge 2.49

---

Material: NdNiGe
Method: DFT, PBE
State: optimized geometry

a = 7.2724 Å, b = 4.3737 Å, c = 7.2506 Å
α = 90.00°, β = 90.00°, γ = 90.00°
Last column: nearest neighbours and their distance in Å.
Space group Pnma (No. 62)
Symmetry-distinct sites (fractional):
Nd 0.0165 0.2500 0.1973 (multiplicity 4)  4 Ni 2.96-3.10, 6 Ge 3.06-3.17
Ni 0.1752 0.7500 0.4206 (multiplicity 4)  4 Ge 2.52-2.66
Ge 0.1901 0.2500 0.5935 (multiplicity 4)  4 Ni 2.52-2.66

---

| no. | calculated density (g cm⁻³) | calculated total energy (eV per formula unit) |
| --- | --- | --- |
| 1 | 7.2 | -22.0 |
| 2 | 7.4 | -27.2 |
| 3 | 7.9 | -17.1 |